Record 1
The following is a GGA-PBE calculation of a relaxed AlTcIrRu2 crystal, from the Alexandria database.

Lattice parameters (Å, degrees): 4.3082 4.3818 4.3082 90.00 90.00 90.00
Last column: nearest neighbours and their distance in Å.
Atoms (fractional coordinates):
Ru: 0.0000 0.0000 0.5000  2 Al 2.15
Ru: 0.5000 0.0000 0.0000  2 Al 2.15
Ir: 0.5000 0.5000 0.5000  4 Tc 3.05, 8 Ru 3.07
Tc: 0.0000 0.5000 0.0000  2 Al 2.19
Al: 0.0000 0.0000 0.0000  4 Ru 2.15, 2 Tc 2.19

## Properties
Fermi-level density of states = 8.0 states/eV per cell
Calculated density = 10.60 g cm⁻³
Crystal system = tetragonal
Calculated formation energy = 1.34 eV/atom

Record 2
The following is a GGA-PBE calculation of a relaxed LiBeSe2 crystal, from the Alexandria database.

Lattice parameters (Å, degrees): 5.8068 5.8068 6.3031 62.57 62.57 90.00
Last column: nearest neighbours and their distance in Å.
Atoms (fractional coordinates):
Be: 0.0000 0.0000 0.0000  4 Se 2.22
Be: 0.7500 0.2500 0.5000  4 Se 2.22
Se: 0.6710 0.1250 0.2500  2 Be 2.22
Se: 0.0790 0.6250 0.2500  2 Be 2.22
Se: 0.3750 0.3290 0.7500  2 Be 2.22
Se: 0.8750 0.9210 0.7500  2 Be 2.22
Li: 0.5000 0.5000 0.0000  4 Se 2.55
Li: 0.2500 0.7500 0.5000  4 Se 2.55

## Properties
Fermi-level density of states = 10.4 states/eV per cell
Calculated density = 3.58 g cm⁻³
Crystal system = tetragonal
Uncorrected formation energy = -61.8 kJ per mole of atoms

Record 3
The following is a GGA-PBE calculation of a relaxed PmGdZnBi crystal, from the Alexandria database.

Lattice parameters (Å, degrees): 5.3725 5.3725 5.3725 60.00 60.00 60.00
Last column: nearest neighbours and their distance in Å.
Atoms (fractional coordinates):
Zn: 0.0000 0.0000 0.0000  4 Gd 3.29, 4 Pm 3.29
Gd: 0.2500 0.2500 0.2500  4 Bi 3.29, 4 Zn 3.29
Bi: 0.5000 0.5000 0.5000  4 Gd 3.29, 4 Pm 3.29
Pm: 0.7500 0.7500 0.7500  4 Zn 3.29, 4 Bi 3.29

## Properties
Fermi-level density of states = 3.7 states/eV per cell
Calculated density = 8.73 g cm⁻³
Crystal system = cubic
Calculated formation energy = -0.45 eV/atom

Record 4
The following is a GGA-PBE calculation of a relaxed YScAs2 crystal, from the Alexandria database.

Lattice parameters (Å, degrees): 5.0874 5.0874 3.5333 79.20 79.20 92.72
Last column: nearest neighbours and their distance in Å.
Atoms (fractional coordinates):
As: 0.0000 0.0000 0.0000  2 Sc 2.81, 2 Y 2.81
As: 0.5000 0.5000 0.0000  2 Y 2.81, 2 Sc 2.81
Sc: 0.5000 0.0000 0.5000  4 As 2.81
Y: 0.0000 0.5000 0.5000  4 As 2.81

## Properties
Relative energy among the computed polymorphs = 407 meV per atom
Fermi-level density of states = 1.2 states/eV per cell
Calculated density = 5.36 g cm⁻³
Crystal system = monoclinic
Calculated formation energy = -1.05 eV/atom

Question: Look up the calculated density of the first one.
Answer: 10.60 g cm⁻³

Question: Number 3 is which compound?
Answer: PmGdZnBi

Question: Which of these has the highest calculated density?
Answer: AlTcIrRu2